# ErCrNi4 (PBE, relaxed)
# * DFT total energy: -0.236 hartree per atom
# * mass density: 9.14 g cm⁻³
data_ErCrNi4
_chemical_formula_sum 'Er4 Cr4 Ni16'
_cell_length_a 6.910
_cell_length_b 6.910
_cell_length_c 6.910
_cell_angle_alpha 90.00
_cell_angle_beta 90.00
_cell_angle_gamma 90.00
_symmetry_space_group_name_H-M 'F -4 3 m'
_symmetry_Int_Tables_number 216
_symmetry_space_group_name_Hall 'F -4 2 3'
loop_
_atom_site_label
_atom_site_type_symbol
_atom_site_fract_x
_atom_site_fract_y
_atom_site_fract_z
Er1 Er 0.000 0.000 0.000
Cr1 Cr 0.250 0.250 0.250
Ni1 Ni 0.124 0.124 0.624

# ErNpCr2S6 (PBE, relaxed)
# * mass density: 5.55 g cm⁻³
# * formation energy from raw total energies: -11.31 eV per formula unit
data_ErNpCr2S6
_chemical_formula_sum 'Er3 Np3 Cr6 S18'
_cell_length_a 6.4950
_cell_length_b 6.4950
_cell_length_c 17.2137
_cell_angle_alpha 90.00
_cell_angle_beta 90.00
_cell_angle_gamma 120.00
_symmetry_space_group_name_H-M 'R 3'
_symmetry_Int_Tables_number 146
_symmetry_space_group_name_Hall 'R 3'
loop_
_atom_site_label
_atom_site_type_symbol
_atom_site_fract_x
_atom_site_fract_y
_atom_site_fract_z
Er1 Er 0.0000 0.0000 0.0000
Np1 Np 0.0000 0.0000 0.5015
Cr1 Cr 0.0000 0.0000 0.1968
Cr2 Cr 0.0000 0.0000 0.6979
S1 S 0.0540 0.7136 0.2746
S2 S 0.0552 0.3406 0.7743